First-principles (PBE-GGA) data for CsK6Pt after structural relaxation, as listed in Alexandria via LeMat-Bulk.

- Total magnetic moment: 0.00 μB/f.u.
- Space group: R-3m, No. 166
- ΔE_f: 2.35 kJ per mole of atoms

```
data_CsK6Pt
_cell_length_a 11.136
_cell_length_b 8.362
_cell_length_c 8.362
_cell_angle_alpha 101.83
_cell_angle_beta 116.33
_cell_angle_gamma 116.33
_space_group_name_H-M_alt 'P 1'
_space_group_IT_number 1
loop_
_space_group_symop_operation_xyz
'x,y,z'
loop_
_atom_site_label
_atom_site_type_symbol
_atom_site_fract_x
_atom_site_fract_y
_atom_site_fract_z
K1 K 0.908 0.643 0.643
Pt1 Pt 0.000 0.000 0.000
K2 K 0.092 0.357 0.357
K3 K 0.265 0.357 0.000
Cs1 Cs 0.500 0.000 0.000
K4 K 0.265 0.000 0.357
K5 K 0.735 0.000 0.643
K6 K 0.735 0.643 0.000
```

***

First-principles (PBE-GGA) data for Cs4KPt after structural relaxation, as listed in Alexandria via LeMat-Bulk.

- Total magnetic moment: 0.00 μB/f.u.
- Space group: C2/m, No. 12
- ΔE_f: -0.32 kJ per mole of atoms

```
data_Cs4KPt
_cell_length_a 8.329
_cell_length_b 9.777
_cell_length_c 12.133
_cell_angle_alpha 113.76
_cell_angle_beta 101.75
_cell_angle_gamma 90.00
_space_group_name_H-M_alt 'P 1'
_space_group_IT_number 1
loop_
_space_group_symop_operation_xyz
'x,y,z'
loop_
_atom_site_label
_atom_site_type_symbol
_atom_site_fract_x
_atom_site_fract_y
_atom_site_fract_z
Cs1 Cs 0.389 0.166 0.802
Cs2 Cs 0.611 0.364 0.198
K1 K 0.846 0.804 0.608
K2 K 0.154 0.196 0.392
Cs3 Cs 0.611 0.834 0.198
Cs4 Cs 0.250 0.677 0.353
Cs5 Cs 0.389 0.636 0.802
Cs6 Cs 0.750 0.323 0.647
Cs7 Cs 0.000 0.284 0.000
Cs8 Cs 0.000 0.716 0.000
Pt1 Pt 0.644 0.479 0.957
Pt2 Pt 0.356 0.521 0.043
```

***

First-principles (PBE-GGA) data for Cs5K4Pt after structural relaxation, as listed in Alexandria via LeMat-Bulk.

- Total magnetic moment: 0.00 μB/f.u.
- Space group: I4/mmm, No. 139
- ΔE_f: -1.16 kJ per mole of atoms

```
data_Cs5K4Pt
_cell_length_a 6.928
_cell_length_b 11.253
_cell_length_c 11.253
_cell_angle_alpha 84.56
_cell_angle_beta 72.07
_cell_angle_gamma 72.07
_space_group_name_H-M_alt 'P 1'
_space_group_IT_number 1
loop_
_space_group_symop_operation_xyz
'x,y,z'
loop_
_atom_site_label
_atom_site_type_symbol
_atom_site_fract_x
_atom_site_fract_y
_atom_site_fract_z
Pt1 Pt 0.999 0.000 0.000
K1 K 0.499 0.351 0.649
Cs1 Cs 0.155 0.000 0.688
Cs2 Cs 0.155 0.688 0.000
K2 K 0.499 0.649 0.351
K3 K 0.148 0.351 0.351
Cs3 Cs 0.843 0.312 0.000
Cs4 Cs 0.499 0.000 0.000
Cs5 Cs 0.843 0.000 0.312
K4 K 0.850 0.649 0.649
```

***

First-principles (PBE-GGA) data for Cs6K12Pt after structural relaxation, as listed in Alexandria via LeMat-Bulk.

- Total magnetic moment: 0.00 μB/f.u.
- Space group: R-3, No. 148
- ΔE_f: 1.81 kJ per mole of atoms

```
data_Cs6K12Pt
_cell_length_a 11.682
_cell_length_b 11.682
_cell_length_c 11.682
_cell_angle_alpha 77.87
_cell_angle_beta 77.87
_cell_angle_gamma 77.87
_space_group_name_H-M_alt 'P 1'
_space_group_IT_number 1
loop_
_space_group_symop_operation_xyz
'x,y,z'
loop_
_atom_site_label
_atom_site_type_symbol
_atom_site_fract_x
_atom_site_fract_y
_atom_site_fract_z
K1 K 0.180 0.881 0.180
Cs1 Cs 0.143 0.143 0.493
K2 K 0.881 0.180 0.180
K3 K 0.820 0.820 0.119
Cs2 Cs 0.857 0.857 0.507
Pt1 Pt 0.000 0.000 0.000
K4 K 0.180 0.180 0.881
K5 K 0.794 0.463 0.464
Cs3 Cs 0.143 0.493 0.143
K6 K 0.536 0.206 0.537
Cs4 Cs 0.493 0.143 0.143
Cs5 Cs 0.507 0.857 0.857
K7 K 0.119 0.820 0.820
K8 K 0.820 0.119 0.820
K9 K 0.206 0.537 0.536
K10 K 0.464 0.794 0.463
K11 K 0.463 0.464 0.794
Cs6 Cs 0.857 0.507 0.857
K12 K 0.537 0.536 0.206
```

***

First-principles (PBE-GGA) data for Cs2K4Pt after structural relaxation, as listed in Alexandria via LeMat-Bulk.

- Total magnetic moment: 0.00 μB/f.u.
- Space group: C2/m, No. 12
- ΔE_f: 2.42 kJ per mole of atoms

```
data_Cs2K4Pt
_cell_length_a 5.672
_cell_length_b 8.314
_cell_length_c 10.123
_cell_angle_alpha 104.37
_cell_angle_beta 106.27
_cell_angle_gamma 90.00
_space_group_name_H-M_alt 'P 1'
_space_group_IT_number 1
loop_
_space_group_symop_operation_xyz
'x,y,z'
loop_
_atom_site_label
_atom_site_type_symbol
_atom_site_fract_x
_atom_site_fract_y
_atom_site_fract_z
Cs1 Cs 0.186 0.220 0.372
Cs2 Cs 0.814 0.780 0.628
K1 K 0.530 0.225 0.059
Pt1 Pt 0.000 0.000 0.000
K2 K 0.470 0.775 0.941
K3 K 0.903 0.283 0.806
K4 K 0.097 0.717 0.194
```

***

First-principles (PBE-GGA) data for Cs4K5Pt after structural relaxation, as listed in Alexandria via LeMat-Bulk.

- Total magnetic moment: 0.00 μB/f.u.
- Space group: I4/mmm, No. 139
- ΔE_f: 3.08 kJ per mole of atoms

```
data_Cs4K5Pt
_cell_length_a 6.685
_cell_length_b 11.201
_cell_length_c 11.201
_cell_angle_alpha 84.89
_cell_angle_beta 72.64
_cell_angle_gamma 72.64
_space_group_name_H-M_alt 'P 1'
_space_group_IT_number 1
loop_
_space_group_symop_operation_xyz
'x,y,z'
loop_
_atom_site_label
_atom_site_type_symbol
_atom_site_fract_x
_atom_site_fract_y
_atom_site_fract_z
K1 K 0.147 0.000 0.704
Cs1 Cs 0.815 0.684 0.684
Cs2 Cs 0.183 0.316 0.316
Cs3 Cs 0.499 0.316 0.684
K2 K 0.851 0.296 0.000
K3 K 0.147 0.704 0.000
K4 K 0.851 0.000 0.296
Pt1 Pt 0.999 0.000 0.000
K5 K 0.499 0.000 0.000
Cs4 Cs 0.499 0.684 0.316
```

***

First-principles (PBE-GGA) data for Cs2K4Pt after structural relaxation, as listed in Alexandria via LeMat-Bulk.

- Total magnetic moment: 0.00 μB/f.u.
- Space group: I4/mmm, No. 139
- ΔE_f: 3.25 kJ per mole of atoms

```
data_Cs2K4Pt
_cell_length_a 6.340
_cell_length_b 6.340
_cell_length_c 13.830
_cell_angle_alpha 76.75
_cell_angle_beta 76.75
_cell_angle_gamma 90.00
_space_group_name_H-M_alt 'P 1'
_space_group_IT_number 1
loop_
_space_group_symop_operation_xyz
'x,y,z'
loop_
_atom_site_label
_atom_site_type_symbol
_atom_site_fract_x
_atom_site_fract_y
_atom_site_fract_z
Cs1 Cs 0.313 0.313 0.374
K1 K 0.500 0.000 0.000
K2 K 0.000 0.500 0.000
Cs2 Cs 0.687 0.687 0.626
K3 K 0.118 0.118 0.764
K4 K 0.882 0.882 0.236
Pt1 Pt 0.000 0.000 0.000
```

***

First-principles (PBE-GGA) data for Cs12K3Pt5 after structural relaxation, as listed in Alexandria via LeMat-Bulk.

- Total magnetic moment: 0.00 μB/f.u.
- Space group: Ia-3d, No. 230
- ΔE_f: 11.70 kJ per mole of atoms

```
data_Cs12K3Pt5
_cell_length_a 19.424
_cell_length_b 19.424
_cell_length_c 19.424
_cell_angle_alpha 109.47
_cell_angle_beta 109.47
_cell_angle_gamma 109.47
_space_group_name_H-M_alt 'P 1'
_space_group_IT_number 1
loop_
_space_group_symop_operation_xyz
'x,y,z'
loop_
_atom_site_label
_atom_site_type_symbol
_atom_site_fract_x
_atom_site_fract_y
_atom_site_fract_z
Cs1 Cs 0.499 0.184 0.094
Pt1 Pt 0.375 0.125 0.750
Cs2 Cs 0.410 0.094 0.595
K1 K 0.250 0.125 0.375
Cs3 Cs 0.316 0.906 0.001
Cs4 Cs 0.684 0.590 0.185
K2 K 0.625 0.375 0.750
Cs5 Cs 0.184 0.499 0.594
Cs6 Cs 0.999 0.405 0.815
K3 K 0.125 0.875 0.750
Cs7 Cs 0.095 0.910 0.094
Cs8 Cs 0.184 0.685 0.090
Cs9 Cs 0.405 0.999 0.315
K4 K 0.875 0.125 0.250
Cs10 Cs 0.816 0.501 0.406
Cs11 Cs 0.910 0.815 0.816
Pt2 Pt 0.000 0.000 0.500
Cs12 Cs 0.001 0.595 0.185
Cs13 Cs 0.594 0.595 0.910
Cs14 Cs 0.999 0.594 0.684
Pt3 Pt 0.500 0.500 0.500
Cs15 Cs 0.406 0.001 0.816
Cs16 Cs 0.405 0.406 0.590
Pt4 Pt 0.250 0.375 0.625
Pt5 Pt 0.250 0.875 0.125
Cs17 Cs 0.090 0.185 0.184
Cs18 Cs 0.094 0.410 0.095
Cs19 Cs 0.905 0.815 0.499
Cs20 Cs 0.095 0.185 0.501
Cs21 Cs 0.185 0.095 0.001
Cs22 Cs 0.816 0.315 0.910
Cs23 Cs 0.316 0.410 0.815
K5 K 0.750 0.375 0.125
Cs24 Cs 0.501 0.685 0.095
Cs25 Cs 0.094 0.684 0.499
Cs26 Cs 0.906 0.590 0.905
Cs27 Cs 0.684 0.094 0.999
Cs28 Cs 0.590 0.684 0.685
Cs29 Cs 0.905 0.090 0.906
Cs30 Cs 0.001 0.406 0.316
Pt6 Pt 0.875 0.250 0.625
Cs31 Cs 0.594 0.999 0.184
Cs32 Cs 0.595 0.594 0.410
K6 K 0.125 0.250 0.875
Pt7 Pt 0.500 0.000 0.500
Pt8 Pt 0.000 0.000 0.000
Cs33 Cs 0.315 0.499 0.405
Cs34 Cs 0.185 0.090 0.684
K7 K 0.250 0.625 0.875
Cs35 Cs 0.815 0.905 0.999
Cs36 Cs 0.410 0.316 0.315
K8 K 0.375 0.750 0.625
Cs37 Cs 0.685 0.501 0.595
K9 K 0.625 0.250 0.375
K10 K 0.875 0.750 0.125
Cs38 Cs 0.815 0.910 0.316
Pt9 Pt 0.125 0.375 0.250
Pt10 Pt 0.000 0.500 0.000
Cs39 Cs 0.315 0.816 0.410
Pt11 Pt 0.125 0.750 0.375
Pt12 Pt 0.750 0.625 0.375
Cs40 Cs 0.590 0.906 0.405
Cs41 Cs 0.501 0.816 0.906
Pt13 Pt 0.000 0.500 0.500
K11 K 0.375 0.625 0.250
Cs42 Cs 0.499 0.315 0.905
Pt14 Pt 0.625 0.875 0.250
Pt15 Pt 0.500 0.500 0.000
Cs43 Cs 0.090 0.905 0.406
Pt16 Pt 0.625 0.750 0.875
Cs44 Cs 0.910 0.095 0.594
Pt17 Pt 0.750 0.125 0.875
Cs45 Cs 0.685 0.184 0.590
Cs46 Cs 0.906 0.316 0.501
Pt18 Pt 0.375 0.250 0.125
K12 K 0.750 0.875 0.625
Cs47 Cs 0.406 0.405 0.090
Pt19 Pt 0.875 0.625 0.750
Cs48 Cs 0.595 0.001 0.685
Pt20 Pt 0.500 0.000 0.000
```

***

First-principles (PBE-GGA) data for Cs5K12Pt2 after structural relaxation, as listed in Alexandria via LeMat-Bulk.

- Total magnetic moment: 0.00 μB/f.u.
- Space group: C2/m, No. 12
- ΔE_f: 4.51 kJ per mole of atoms

```
data_Cs5K12Pt2
_cell_length_a 8.765
_cell_length_b 11.942
_cell_length_c 14.050
_cell_angle_alpha 94.56
_cell_angle_beta 108.18
_cell_angle_gamma 90.00
_space_group_name_H-M_alt 'P 1'
_space_group_IT_number 1
loop_
_space_group_symop_operation_xyz
'x,y,z'
loop_
_atom_site_label
_atom_site_type_symbol
_atom_site_fract_x
_atom_site_fract_y
_atom_site_fract_z
K1 K 0.822 0.881 0.194
Pt1 Pt 0.653 0.000 0.000
Cs1 Cs 0.262 0.830 0.524
K2 K 0.553 0.221 0.106
Cs2 Cs 0.791 0.785 0.581
Pt2 Pt 0.347 0.000 0.000
K3 K 0.447 0.779 0.894
Cs3 Cs 0.209 0.215 0.419
K4 K 0.581 0.471 0.681
K5 K 0.628 0.119 0.806
Cs4 Cs 0.000 0.500 0.000
K6 K 0.419 0.529 0.319
K7 K 0.900 0.529 0.319
K8 K 0.100 0.471 0.681
K9 K 0.178 0.119 0.806
K10 K 0.038 0.135 0.076
K11 K 0.962 0.865 0.924
Cs5 Cs 0.738 0.170 0.476
K12 K 0.372 0.881 0.194
```

***

First-principles (PBE-GGA) data for Cs2KPt after structural relaxation, as listed in Alexandria via LeMat-Bulk.

- Total magnetic moment: 0.00 μB/f.u.
- Space group: Fm-3m, No. 225
- ΔE_f: 19.21 kJ per mole of atoms

```
data_Cs2KPt
_cell_length_a 6.145
_cell_length_b 6.145
_cell_length_c 6.145
_cell_angle_alpha 60.00
_cell_angle_beta 60.00
_cell_angle_gamma 60.00
_space_group_name_H-M_alt 'P 1'
_space_group_IT_number 1
loop_
_space_group_symop_operation_xyz
'x,y,z'
loop_
_atom_site_label
_atom_site_type_symbol
_atom_site_fract_x
_atom_site_fract_y
_atom_site_fract_z
Pt1 Pt 0.500 0.500 0.500
K1 K 0.000 0.000 0.000
Cs1 Cs 0.250 0.250 0.250
Cs2 Cs 0.750 0.750 0.750
```

***

First-principles (PBE-GGA) data for CsKPt2 after structural relaxation, as listed in Alexandria via LeMat-Bulk.

- Total magnetic moment: 0.00 μB/f.u.
- Space group: Fm-3m, No. 225
- ΔE_f: 65.86 kJ per mole of atoms

```
data_CsKPt2
_cell_length_a 5.454
_cell_length_b 5.454
_cell_length_c 5.454
_cell_angle_alpha 60.00
_cell_angle_beta 60.00
_cell_angle_gamma 60.00
_space_group_name_H-M_alt 'P 1'
_space_group_IT_number 1
loop_
_space_group_symop_operation_xyz
'x,y,z'
loop_
_atom_site_label
_atom_site_type_symbol
_atom_site_fract_x
_atom_site_fract_y
_atom_site_fract_z
K1 K 0.000 0.000 0.000
Pt1 Pt 0.250 0.250 0.250
Pt2 Pt 0.750 0.750 0.750
Cs1 Cs 0.500 0.500 0.500
```

***

First-principles (PBE-GGA) data for CsKPt3 after structural relaxation, as listed in Alexandria via LeMat-Bulk.

- Total magnetic moment: 0.00 μB/f.u.
- Space group: Pm-3m, No. 221
- ΔE_f: 136.42 kJ per mole of atoms

```
data_CsKPt3
_cell_length_a 5.380
_cell_length_b 5.380
_cell_length_c 5.380
_cell_angle_alpha 90.00
_cell_angle_beta 90.00
_cell_angle_gamma 90.00
_space_group_name_H-M_alt 'P 1'
_space_group_IT_number 1
loop_
_space_group_symop_operation_xyz
'x,y,z'
loop_
_atom_site_label
_atom_site_type_symbol
_atom_site_fract_x
_atom_site_fract_y
_atom_site_fract_z
Cs1 Cs 0.000 0.000 0.000
Pt1 Pt 0.500 0.000 0.000
K1 K 0.500 0.500 0.500
Pt2 Pt 0.000 0.000 0.500
Pt3 Pt 0.000 0.500 0.000
```